Compound: Zn3Ga2Ag
Source: Alexandria via LeMat-Bulk
Functional: PBE-GGA
Structure: relaxed

Summary:
Electronic total energy (eV per atom): -2.108
Energy above the most stable polymorph in this dataset (kJ/mol of atoms): 0.0
Theoretical density (g cm⁻³): 7.3
Formation energy (eV/atom): 0.01
Symmetry: C2/c, No. 15

Cell and atoms, written as POSCAR:
```
Zn3Ga2Ag
1.0
-2.2418 -4.7562 2.2316
3.1516 0.7446 4.7529
-4.2552 5.5003 0.1380
Zn Ga Ag
6 4 2
direct
0.7488 0.2500 0.0000 Zn
0.2512 0.7500 0.0000 Zn
0.1560 0.0800 0.3112 Zn
0.8448 0.4200 0.6888 Zn
0.1552 0.5800 0.3112 Zn
0.8440 0.9200 0.6888 Zn
0.6615 0.5797 0.3225 Ga
0.6609 0.0797 0.3225 Ga
0.3391 0.9203 0.6775 Ga
0.3385 0.4203 0.6775 Ga
0.7530 0.7500 0.0000 Ag
0.2470 0.2500 0.0000 Ag
```



Compound: Zn2Ga3Ag7
Source: Alexandria via LeMat-Bulk
Functional: PBE-GGA
Structure: relaxed

Summary:
Electronic total energy (eV per atom): -2.595
Theoretical density (g cm⁻³): 8.6
Formation energy (eV/atom): 0.04
Symmetry: P2/m, No. 10

Cell and atoms, written as POSCAR:
```
Zn2Ga3Ag7
1.0
2.8547 0.0000 0.0000
0.0000 5.3448 0.5351
0.0000 2.6395 14.0484
Zn Ga Ag
2 3 7
direct
0.5000 0.5960 0.3265 Zn
0.5000 0.4040 0.6735 Zn
0.0000 0.8840 0.6610 Ga
0.0000 0.1160 0.3390 Ga
0.5000 0.5000 0.0000 Ga
0.5000 0.9530 0.8249 Ag
0.5000 0.0470 0.1751 Ag
0.5000 0.7569 0.4901 Ag
0.5000 0.2431 0.5099 Ag
0.0000 0.0000 0.0000 Ag
0.0000 0.4517 0.8339 Ag
0.0000 0.5483 0.1661 Ag
```



Compound: Zn3Ga2Ag4
Source: Alexandria via LeMat-Bulk
Functional: PBE-GGA
Structure: relaxed

Summary:
Electronic total energy (eV per atom): -2.376
Energy above the most stable polymorph in this dataset (kJ/mol of atoms): 0.0
Theoretical density (g cm⁻³): 8.4
Formation energy (eV/atom): -0.01
Symmetry: P-1, No. 2

Cell and atoms, written as POSCAR:
```
Zn3Ga2Ag4
1.0
-2.3570 2.9691 2.9902
-4.1464 -5.8788 2.4793
3.1040 -1.5685 8.1866
Zn Ga Ag
6 4 8
direct
0.0702 0.9810 0.7220 Zn
0.4013 0.2994 0.0576 Zn
0.9298 0.0190 0.2780 Zn
0.5987 0.7006 0.9424 Zn
0.2726 0.3605 0.6099 Zn
0.7274 0.6395 0.3901 Zn
0.6123 0.8610 0.6108 Ga
0.8456 0.4166 0.1648 Ga
0.3877 0.1390 0.3892 Ga
0.1544 0.5834 0.8352 Ga
0.5219 0.0759 0.8281 Ag
0.9643 0.1979 0.9481 Ag
0.4781 0.9241 0.1719 Ag
0.0357 0.8021 0.0519 Ag
0.1619 0.7450 0.5079 Ag
0.2974 0.5313 0.2702 Ag
0.8381 0.2550 0.4921 Ag
0.7026 0.4687 0.7298 Ag
```



Compound: Zn4Ga3Ag2
Source: Alexandria via LeMat-Bulk
Functional: PBE-GGA
Structure: relaxed

Summary:
Electronic total energy (eV per atom): -2.171
Energy above the most stable polymorph in this dataset (kJ/mol of atoms): 0.0
Theoretical density (g cm⁻³): 7.4
Formation energy (eV/atom): 0.04
Symmetry: C2/c, No. 15

Cell and atoms, written as POSCAR:
```
Zn4Ga3Ag2
1.0
5.3341 -0.0218 -0.0156
0.4203 7.7115 -0.3147
0.4203 2.1868 7.4016
Zn Ga Ag
8 6 4
direct
0.5108 0.8248 0.2856 Zn
0.9892 0.7144 0.1752 Zn
0.4892 0.1752 0.7144 Zn
0.0108 0.2856 0.8248 Zn
0.1018 0.1666 0.5027 Zn
0.3982 0.4973 0.8334 Zn
0.8982 0.8334 0.4973 Zn
0.6018 0.5027 0.1666 Zn
0.0261 0.0448 0.1713 Ga
0.4739 0.8287 0.9552 Ga
0.9739 0.9552 0.8287 Ga
0.5261 0.1713 0.0448 Ga
0.2500 0.5193 0.4807 Ga
0.7500 0.4807 0.5193 Ga
0.6230 0.1610 0.3835 Ag
0.8770 0.6165 0.8390 Ag
0.3770 0.8390 0.6165 Ag
0.1230 0.3835 0.1610 Ag
```



Compound: Zn2Ga2Ag
Source: Alexandria via LeMat-Bulk
Functional: PBE-GGA
Structure: relaxed

Summary:
Electronic total energy (eV per atom): -2.211
Energy above the most stable polymorph in this dataset (kJ/mol of atoms): 0.1
Theoretical density (g cm⁻³): 6.7
Formation energy (eV/atom): 0.08
Symmetry: Cmmm, No. 65

Cell and atoms, written as POSCAR:
```
Zn2Ga2Ag
1.0
4.3471 -1.0966 0.1445
-0.6761 4.4320 0.1445
-0.2208 -0.2006 5.0111
Zn Ga Ag
2 2 1
direct
0.4997 0.4997 0.7558 Zn
0.5003 0.5003 0.2442 Zn
0.1751 0.8249 0.5000 Ga
0.8249 0.1751 0.5000 Ga
0.0000 0.0000 0.0000 Ag
```



Compound: Zn6Ga3Ag2
Source: Alexandria via LeMat-Bulk
Functional: PBE-GGA
Structure: relaxed

Summary:
Electronic total energy (eV per atom): -2.030
Energy above the most stable polymorph in this dataset (kJ/mol of atoms): 0.0
Theoretical density (g cm⁻³): 7.5
Formation energy (eV/atom): 0.01
Symmetry: P-1, No. 2

Cell and atoms, written as POSCAR:
```
Zn6Ga3Ag2
1.0
4.8004 -0.8785 1.6663
-0.8685 5.8655 2.1708
3.3287 5.1433 10.2763
Zn Ga Ag
6 3 2
direct
0.0879 0.6419 0.7256 Zn
0.7170 0.0918 0.8244 Zn
0.9121 0.3581 0.2744 Zn
0.2830 0.9082 0.1756 Zn
0.8119 0.7287 0.5479 Zn
0.1881 0.2713 0.4521 Zn
0.0000 0.0000 0.0000 Ga
0.4808 0.1970 0.6246 Ga
0.5192 0.8030 0.3754 Ga
0.6356 0.4542 0.0899 Ag
0.3644 0.5458 0.9101 Ag
```



Compound: Zn5Ga2Ag5
Source: Alexandria via LeMat-Bulk
Functional: PBE-GGA
Structure: relaxed

Summary:
Electronic total energy (eV per atom): -2.220
Energy above the most stable polymorph in this dataset (kJ/mol of atoms): 0.0
Theoretical density (g cm⁻³): 8.4
Formation energy (eV/atom): 0.00
Symmetry: C2/m, No. 12

Cell and atoms, written as POSCAR:
```
Zn5Ga2Ag5
1.0
-3.3188 -0.6111 -2.0852
-1.1782 -6.3587 -0.0344
-5.8691 -1.8861 6.1207
Zn Ga Ag
5 2 5
direct
0.5000 0.5000 0.5000 Zn
0.3359 0.3285 0.9997 Zn
0.4099 0.9266 0.2536 Zn
0.5901 0.0734 0.7464 Zn
0.6641 0.6715 0.0003 Zn
0.9170 0.4103 0.7557 Ga
0.0830 0.5897 0.2443 Ga
0.8407 0.8239 0.4946 Ag
0.2532 0.7343 0.7593 Ag
0.7468 0.2657 0.2407 Ag
0.1593 0.1761 0.5054 Ag
0.0000 0.0000 0.0000 Ag
```



Compound: Zn4Ga3Ag4
Source: Alexandria via LeMat-Bulk
Functional: PBE-GGA
Structure: relaxed

Summary:
Electronic total energy (eV per atom): -2.261
Energy above the most stable polymorph in this dataset (kJ/mol of atoms): 0.0
Theoretical density (g cm⁻³): 7.8
Formation energy (eV/atom): 0.06
Symmetry: Immm, No. 71

Cell and atoms, written as POSCAR:
```
Zn4Ga3Ag4
1.0
-0.0256 -0.7309 -2.8826
7.3339 -1.0015 0.1887
-4.8525 -7.5072 3.4807
Zn Ga Ag
4 3 4
direct
0.2536 0.7536 0.5072 Zn
0.7464 0.2464 0.4928 Zn
0.5000 0.8141 0.0000 Zn
0.5000 0.1859 0.0000 Zn
0.1130 0.1130 0.2259 Ga
0.8870 0.8870 0.7741 Ga
0.0000 0.5000 0.0000 Ga
0.3500 0.1582 0.6999 Ag
0.6500 0.4583 0.3001 Ag
0.6500 0.8418 0.3001 Ag
0.3500 0.5417 0.6999 Ag
```



Compound: ZnGa6Ag
Source: Alexandria via LeMat-Bulk
Functional: PBE-GGA
Structure: relaxed

Summary:
Electronic total energy (eV per atom): -2.744
Energy above the most stable polymorph in this dataset (kJ/mol of atoms): 0.6
Theoretical density (g cm⁻³): 6.6
Formation energy (eV/atom): 0.04
Symmetry: C2/m, No. 12

Cell and atoms, written as POSCAR:
```
ZnGa6Ag
1.0
5.2422 0.3871 -0.9482
-1.5910 5.0099 -0.9482
-1.7513 -2.5887 6.4759
Zn Ga Ag
1 6 1
direct
0.5000 0.5000 0.5000 Zn
0.2199 0.2199 0.7646 Ga
0.7431 0.2812 0.2458 Ga
0.7801 0.7801 0.2354 Ga
0.7188 0.2569 0.7542 Ga
0.2569 0.7188 0.7542 Ga
0.2812 0.7431 0.2458 Ga
0.0000 0.0000 0.0000 Ag
```



Compound: Zn12Ga5Ag2
Source: Alexandria via LeMat-Bulk
Functional: PBE-GGA
Structure: relaxed

Summary:
Electronic total energy (eV per atom): -1.815
Theoretical density (g cm⁻³): 6.5
Formation energy (eV/atom): 0.09
Symmetry: C2/m, No. 12

Cell and atoms, written as POSCAR:
```
Zn12Ga5Ag2
1.0
-1.9884 -4.5370 -4.6163
6.6846 2.9438 -0.8067
1.0331 -5.9511 5.4039
Zn Ga Ag
12 5 2
direct
0.1073 0.2146 0.2657 Zn
0.0491 0.5610 0.8558 Zn
0.5118 0.5610 0.8558 Zn
0.1974 0.7674 0.4191 Zn
0.5700 0.7674 0.4191 Zn
0.4365 0.8730 0.7360 Zn
0.5635 0.1270 0.2640 Zn
0.8026 0.2326 0.5809 Zn
0.4300 0.2326 0.5809 Zn
0.9509 0.4390 0.1442 Zn
0.4882 0.4390 0.1442 Zn
0.8927 0.7854 0.7343 Zn
0.2357 0.4714 0.5738 Ga
0.3642 0.7284 0.1166 Ga
0.0000 0.0000 0.5000 Ga
0.6358 0.2716 0.8834 Ga
0.7643 0.5286 0.4262 Ga
0.7786 0.0000 0.0000 Ag
0.2214 0.0000 0.0000 Ag
```



Compound: Zn5Ga5Ag2
Source: Alexandria via LeMat-Bulk
Functional: PBE-GGA
Structure: relaxed

Summary:
Electronic total energy (eV per atom): -2.230
Energy above the most stable polymorph in this dataset (kJ/mol of atoms): 0.0
Theoretical density (g cm⁻³): 7.0
Formation energy (eV/atom): 0.04
Symmetry: C2/m, No. 12

Cell and atoms, written as POSCAR:
```
Zn5Ga5Ag2
1.0
4.5065 0.0000 0.0000
-2.2533 6.3055 0.3142
0.0000 -2.5857 7.2638
Zn Ga Ag
5 5 2
direct
0.0837 0.1674 0.3906 Zn
0.7726 0.5452 0.8099 Zn
0.2274 0.4548 0.1901 Zn
0.9163 0.8326 0.6094 Zn
0.0000 0.0000 0.0000 Zn
0.5000 0.0000 0.5000 Ga
0.6142 0.2284 0.9834 Ga
0.6978 0.3956 0.3815 Ga
0.3022 0.6044 0.6185 Ga
0.3858 0.7716 0.0166 Ga
0.1343 0.2686 0.7788 Ag
0.8657 0.7314 0.2212 Ag
```



Compound: Zn3Ga2Ag3
Source: Alexandria via LeMat-Bulk
Functional: PBE-GGA
Structure: relaxed

Summary:
Electronic total energy (eV per atom): -2.289
Energy above the most stable polymorph in this dataset (kJ/mol of atoms): 1.6
Theoretical density (g cm⁻³): 8.1
Formation energy (eV/atom): 0.01
Symmetry: C2/m, No. 12

Cell and atoms, written as POSCAR:
```
Zn3Ga2Ag3
1.0
4.7437 0.0000 0.0000
0.0000 5.0491 -0.3332
-2.3718 -1.9541 5.7860
Zn Ga Ag
3 2 3
direct
0.6213 0.1607 0.2426 Zn
0.5000 0.5000 0.0000 Zn
0.3787 0.8393 0.7574 Zn
0.2498 0.1933 0.4997 Ga
0.7502 0.8067 0.5003 Ga
0.1292 0.5985 0.2584 Ag
0.8708 0.4015 0.7416 Ag
0.0000 0.0000 0.0000 Ag
```



Compound: ZnGa3Ag12
Source: Alexandria via LeMat-Bulk
Functional: PBE-GGA
Structure: relaxed

Summary:
Electronic total energy (eV per atom): -2.782
Theoretical density (g cm⁻³): 9.4
Formation energy (eV/atom): 0.00
Symmetry: P4/mmm, No. 123

Cell and atoms, written as POSCAR:
```
ZnGa3Ag12
1.0
4.0787 0.0000 0.0000
0.0000 4.0787 0.0000
0.0000 0.0000 16.7333
Zn Ga Ag
1 3 12
direct
0.0000 0.0000 0.0000 Zn
0.0000 0.0000 0.2480 Ga
0.0000 0.0000 0.5000 Ga
0.0000 0.0000 0.7520 Ga
0.5000 0.5000 0.0000 Ag
0.5000 0.5000 0.2487 Ag
0.5000 0.5000 0.5000 Ag
0.5000 0.5000 0.7513 Ag
0.5000 0.0000 0.1229 Ag
0.5000 0.0000 0.3739 Ag
0.5000 0.0000 0.6261 Ag
0.5000 0.0000 0.8771 Ag
0.0000 0.5000 0.1229 Ag
0.0000 0.5000 0.3739 Ag
0.0000 0.5000 0.6261 Ag
0.0000 0.5000 0.8771 Ag
```



Compound: ZnGa6Ag5
Source: Alexandria via LeMat-Bulk
Functional: PBE-GGA
Structure: relaxed

Summary:
Electronic total energy (eV per atom): -2.795
Energy above the most stable polymorph in this dataset (kJ/mol of atoms): 1.0
Theoretical density (g cm⁻³): 8.0
Formation energy (eV/atom): 0.01
Symmetry: C2/m, No. 12

Cell and atoms, written as POSCAR:
```
ZnGa6Ag5
1.0
-5.7568 1.8313 -6.6106
1.6036 -3.3479 -3.9715
-1.9768 -4.8361 -0.4420
Zn Ga Ag
1 6 5
direct
0.0000 0.0000 0.0000 Zn
0.7521 0.0826 0.3296 Ga
0.2479 0.5878 0.3296 Ga
0.2482 0.2540 0.0000 Ga
0.7518 0.7460 0.0000 Ga
0.7521 0.4122 0.6704 Ga
0.2479 0.9174 0.6704 Ga
0.5000 0.1677 0.6646 Ag
0.0000 0.3313 0.3374 Ag
0.5000 0.5000 0.0000 Ag
0.0000 0.6687 0.6626 Ag
0.5000 0.8323 0.3354 Ag
```



Compound: ZnGa7Ag3
Source: Alexandria via LeMat-Bulk
Functional: PBE-GGA
Structure: relaxed

Summary:
Electronic total energy (eV per atom): -2.756
Theoretical density (g cm⁻³): 6.9
Formation energy (eV/atom): 0.06
Symmetry: C2/m, No. 12

Cell and atoms, written as POSCAR:
```
ZnGa7Ag3
1.0
-3.3532 1.5296 4.1399
2.8900 -5.8192 1.2637
6.1546 2.2532 0.9254
Zn Ga Ag
1 7 3
direct
0.5000 0.5000 0.5000 Zn
0.4482 0.2401 0.2401 Ga
0.2705 0.0687 0.5723 Ga
0.7295 0.4277 0.9313 Ga
0.2705 0.5723 0.0687 Ga
0.0000 0.5000 0.5000 Ga
0.7295 0.9313 0.4277 Ga
0.5518 0.7599 0.7599 Ga
0.0000 0.8285 0.1715 Ag
0.5000 0.0000 0.0000 Ag
0.0000 0.1715 0.8285 Ag
```



Compound: Zn4Ga2Ag3
Source: Alexandria via LeMat-Bulk
Functional: PBE-GGA
Structure: relaxed

Summary:
Electronic total energy (eV per atom): -2.180
Energy above the most stable polymorph in this dataset (kJ/mol of atoms): 0.0
Theoretical density (g cm⁻³): 7.9
Formation energy (eV/atom): 0.01
Symmetry: P3m1, No. 156

Cell and atoms, written as POSCAR:
```
Zn4Ga2Ag3
1.0
-1.7826 2.3215 0.2576
0.6118 -1.6507 2.3524
15.9900 11.8192 4.1353
Zn Ga Ag
4 2 3
direct
0.0000 0.0000 0.5427 Zn
0.6667 0.3333 0.4362 Zn
0.6667 0.3333 0.2188 Zn
0.0000 0.0000 0.7599 Zn
0.6667 0.3333 0.0938 Ga
0.6667 0.3333 0.8670 Ga
0.0000 0.0000 0.9801 Ag
0.0000 0.0000 0.3274 Ag
0.6667 0.3333 0.6514 Ag
```



Compound: Zn3Ga3Ag
Source: Alexandria via LeMat-Bulk
Functional: PBE-GGA
Structure: relaxed

Summary:
Electronic total energy (eV per atom): -2.221
Energy above the most stable polymorph in this dataset (kJ/mol of atoms): 0.0
Theoretical density (g cm⁻³): 7.2
Formation energy (eV/atom): 0.03
Symmetry: P6_3/m, No. 176

Cell and atoms, written as POSCAR:
```
Zn3Ga3Ag
1.0
-2.5599 -0.5064 -4.1523
-2.2908 -6.7624 2.2369
-4.0131 6.0721 1.7336
Zn Ga Ag
6 6 2
direct
0.7500 0.6115 0.5140 Zn
0.7500 0.4860 0.0974 Zn
0.7500 0.9026 0.3885 Zn
0.2500 0.3885 0.4860 Zn
0.2500 0.5140 0.9026 Zn
0.2500 0.0974 0.6115 Zn
0.2500 0.8122 0.7624 Ga
0.2500 0.2376 0.0498 Ga
0.2500 0.9502 0.1878 Ga
0.7500 0.1878 0.2376 Ga
0.7500 0.7624 0.9502 Ga
0.7500 0.0498 0.8122 Ga
0.2500 0.6667 0.3333 Ag
0.7500 0.3333 0.6667 Ag
```



Compound: Zn3GaAg6
Source: Alexandria via LeMat-Bulk
Functional: PBE-GGA
Structure: relaxed

Summary:
Electronic total energy (eV per atom): -2.377
Energy above the most stable polymorph in this dataset (kJ/mol of atoms): 1.5
Theoretical density (g cm⁻³): 8.7
Formation energy (eV/atom): 0.02
Symmetry: P2_1/c, No. 14

Cell and atoms, written as POSCAR:
```
Zn3GaAg6
1.0
-6.0100 -3.1598 2.6448
-0.0044 -4.1759 -4.9992
4.2191 -4.6504 3.8809
Zn Ga Ag
6 2 12
direct
0.5534 0.8001 0.7541 Zn
0.5000 0.5000 0.0000 Zn
0.4466 0.1999 0.2459 Zn
0.0534 0.6999 0.2541 Zn
0.0000 0.0000 0.5000 Zn
0.9466 0.3001 0.7459 Zn
0.5000 0.5000 0.5000 Ga
0.0000 0.0000 0.0000 Ga
0.6592 0.1370 0.9419 Ag
0.6583 0.1307 0.5573 Ag
0.8038 0.3569 0.2514 Ag
0.1962 0.6431 0.7486 Ag
0.3417 0.8693 0.4427 Ag
0.3408 0.8630 0.0581 Ag
0.1592 0.3630 0.4419 Ag
0.1583 0.3693 0.0573 Ag
0.3038 0.1431 0.7514 Ag
0.6962 0.8569 0.2486 Ag
0.8417 0.6307 0.9427 Ag
0.8408 0.6370 0.5581 Ag
```



Compound: Zn5GaAg
Source: Alexandria via LeMat-Bulk
Functional: PBE-GGA
Structure: relaxed

Summary:
Electronic total energy (eV per atom): -1.698
Energy above the most stable polymorph in this dataset (kJ/mol of atoms): 0.0
Theoretical density (g cm⁻³): 7.3
Formation energy (eV/atom): 0.05
Symmetry: C2/c, No. 15

Cell and atoms, written as POSCAR:
```
Zn5GaAg
1.0
4.7104 -0.4040 -0.6683
-0.4871 4.7025 -0.6683
-0.3870 -0.3939 10.6216
Zn Ga Ag
10 2 2
direct
0.4123 0.0077 0.8552 Zn
0.4684 0.7631 0.5437 Zn
0.0077 0.4123 0.3552 Zn
0.8849 0.1151 0.7500 Zn
0.2369 0.5316 0.9563 Zn
0.7631 0.4684 0.0437 Zn
0.1151 0.8849 0.2500 Zn
0.9923 0.5877 0.6448 Zn
0.5316 0.2369 0.4563 Zn
0.5877 0.9923 0.1448 Zn
0.0000 0.0000 0.0000 Ga
0.0000 0.0000 0.5000 Ga
0.5140 0.4860 0.7500 Ag
0.4860 0.5140 0.2500 Ag
```



Compound: Zn6GaAg5
Source: Alexandria via LeMat-Bulk
Functional: PBE-GGA
Structure: relaxed

Summary:
Electronic total energy (eV per atom): -2.091
Energy above the most stable polymorph in this dataset (kJ/mol of atoms): 0.0
Theoretical density (g cm⁻³): 8.5
Formation energy (eV/atom): -0.01
Symmetry: C2/m, No. 12

Cell and atoms, written as POSCAR:
```
Zn6GaAg5
1.0
0.7955 -3.7943 -1.5107
0.9648 -0.5895 7.4216
-7.2171 1.2922 -1.6131
Zn Ag Ga
6 5 1
direct
0.2501 0.0836 0.4159 Zn
0.7499 0.5841 0.9164 Zn
0.7554 0.2523 0.2523 Zn
0.2446 0.7477 0.7477 Zn
0.2501 0.4159 0.0836 Zn
0.7499 0.9164 0.5841 Zn
0.5000 0.1664 0.8336 Ag
0.0000 0.3338 0.6662 Ag
0.5000 0.5000 0.5000 Ag
0.0000 0.6662 0.3338 Ag
0.5000 0.8336 0.1664 Ag
0.0000 0.0000 0.0000 Ga
```